1.
Density functional theory data (PBE) for an optimized crystal structure of Li5Nd2Zn5.

a = 4.5693 Å, b = 5.2579 Å, c = 9.4369 Å
α = 90.00°, β = 90.00°, γ = 90.00°
Last column: nearest neighbours and their distance in Å.
Fractional positions:
Li1 0.0000 0.0000 0.0000  4 Li 2.75, 4 Zn 2.78
Li2 0.0000 0.2500 0.2561  3 Li 2.63-2.75, 5 Zn 2.65-2.77
Li3 0.0000 0.2500 0.7439  3 Li 2.63-2.75, 5 Zn 2.65-2.77
Li4 0.0000 0.7500 0.2561  3 Li 2.63-2.75, 5 Zn 2.65-2.77
Li5 0.0000 0.7500 0.7439  3 Li 2.63-2.75, 5 Zn 2.65-2.77
Nd1 0.5000 0.0000 0.5000  6 Zn 3.08-3.14
Nd2 0.5000 0.5000 0.0000  6 Zn 3.07-3.11
Zn1 0.0000 0.5000 0.5000  4 Li 2.65, 4 Zn 2.80
Zn2 0.5000 0.0000 0.1675  6 Li 2.77-2.78, 2 Zn 3.04, 2 Nd 3.07
Zn3 0.5000 0.0000 0.8325  6 Li 2.77-2.78, 2 Zn 3.04, 2 Nd 3.07
Zn4 0.5000 0.5000 0.3293  4 Li 2.72, 4 Zn 2.80-3.04
Zn5 0.5000 0.5000 0.6707  4 Li 2.72, 4 Zn 2.80-3.04

- DFT formation energy: -0.1854 eV per atom
- Total magnetic moment: 0.00 μB per formula unit

---

2.
Density functional theory data (PBE) for an optimized crystal structure of LiNd2Zn9.

a = 9.2489 Å, b = 9.2489 Å, c = 9.2489 Å
α = 34.60°, β = 34.60°, γ = 34.60°
Last column: nearest neighbours and their distance in Å.
Fractional positions:
Li1 0.0000 0.0000 0.0000  18 Zn 3.18-3.47
Nd1 0.1397 0.1397 0.1397  12 Zn 3.15-3.33, 3 Nd 3.47
Nd2 0.8603 0.8603 0.8603  12 Zn 3.15-3.33, 3 Nd 3.47
Zn1 0.0780 0.5826 0.5826  7 Zn 2.63-2.78
Zn2 0.3345 0.3345 0.3345  6 Zn 2.63-2.66
Zn3 0.4174 0.4174 0.9220  7 Zn 2.63-2.78
Zn4 0.4174 0.9220 0.4174  7 Zn 2.63-2.78
Zn5 0.5000 0.5000 0.5000  6 Zn 2.75
Zn6 0.5826 0.0780 0.5826  7 Zn 2.63-2.78
Zn7 0.5826 0.5826 0.0780  7 Zn 2.63-2.78
Zn8 0.6655 0.6655 0.6655  6 Zn 2.63-2.66
Zn9 0.9220 0.4174 0.4174  7 Zn 2.63-2.78

- DFT formation energy: -0.1711 eV per atom
- Total magnetic moment: 0.00 μB per formula unit

---

3.
Density functional theory data (PBE) for an optimized crystal structure of Li4NdZn12.

a = 7.5008 Å, b = 7.5008 Å, c = 7.5008 Å
α = 109.47°, β = 109.47°, γ = 109.47°
Last column: nearest neighbours and their distance in Å.
Fractional positions:
Li1 0.0000 0.0000 0.5000  6 Zn 2.50
Li2 0.0000 0.5000 0.0000  6 Zn 2.50
Li3 0.5000 0.0000 0.0000  6 Zn 2.50
Li4 0.5000 0.5000 0.5000  6 Zn 2.50
Nd1 0.0000 0.0000 0.0000  12 Zn 3.34
Zn1 0.1501 0.5048 0.3547  2 Li 2.50, 2 Zn 2.52-2.60
Zn2 0.1501 0.7953 0.6453  2 Li 2.50, 2 Zn 2.52-2.60
Zn3 0.2047 0.3547 0.8499  2 Li 2.50, 2 Zn 2.52-2.60
Zn4 0.3547 0.1501 0.5048  2 Li 2.50, 2 Zn 2.52-2.60
Zn5 0.3547 0.8499 0.2047  2 Li 2.50, 2 Zn 2.52-2.60
Zn6 0.4952 0.6453 0.8499  2 Li 2.50, 2 Zn 2.52-2.60
Zn7 0.5048 0.3547 0.1501  2 Li 2.50, 2 Zn 2.52-2.60
Zn8 0.6453 0.1501 0.7953  2 Li 2.50, 2 Zn 2.52-2.60
Zn9 0.6453 0.8499 0.4952  2 Li 2.50, 2 Zn 2.52-2.60
Zn10 0.7953 0.6453 0.1501  2 Li 2.50, 2 Zn 2.52-2.60
Zn11 0.8499 0.2047 0.3547  2 Li 2.50, 2 Zn 2.52-2.60
Zn12 0.8499 0.4952 0.6453  2 Li 2.50, 2 Zn 2.52-2.60

- DFT formation energy: 0.1591 eV per atom
- Total magnetic moment: 0.00 μB per formula unit

---

4.
Density functional theory data (PBE) for an optimized crystal structure of Li4NdZn.

a = 5.4875 Å, b = 5.4875 Å, c = 5.4875 Å
α = 60.00°, β = 60.00°, γ = 60.00°
Last column: nearest neighbours and their distance in Å.
Fractional positions:
Li1 0.3774 0.3774 0.3774  6 Li 2.69-2.80
Li2 0.3774 0.3774 0.8678  6 Li 2.69-2.80
Li3 0.3774 0.8678 0.3774  6 Li 2.69-2.80
Li4 0.8678 0.3774 0.3774  6 Li 2.69-2.80
Nd1 0.0000 0.0000 0.0000  12 Li 3.22, 4 Zn 3.36
Zn1 0.7500 0.7500 0.7500  12 Li 3.21, 4 Nd 3.36

- DFT formation energy: 0.0039 eV per atom
- Total magnetic moment: 0.00 μB per formula unit